Here is a PBEsol-optimized structure of Ba10IBr4N5 from Alexandria. Energies are from meta-GGA SCAN.

The structure belongs to space group R-3m (No. 166, hexagonal axes); the cell edges are 4.1216, 4.1216 and 119.0164 Å and the angles 90.00°, 90.00° and 120.00°. Symmetry generates all atoms from Ba at (0.0000, 0.0000, 0.0472), Ba at (0.0000, 0.0000, 0.1544), Ba at (0.0000, 0.0000, 0.2448), Ba at (0.0000, 0.0000, 0.3560), Ba at (0.0000, 0.0000, 0.4464), I at (0.0000, 0.0000, 0.0000), Br at (0.0000, 0.0000, 0.1996), Br at (0.0000, 0.0000, 0.4012), N at (0.0000, 0.0000, 0.1008), N at (0.0000, 0.0000, 0.2984) and N at (0.0000, 0.0000, 0.5000).

The energy above the most stable polymorph in this dataset is 0 meV/atom. The raw formation energy is -1.36 eV/atom. The density comes out at 5.377 g/cm³.

---

Here is a PBEsol-optimized structure of RbBa2IBr from Alexandria. Energies are from meta-GGA SCAN.

The structure belongs to space group P4/mmm (No. 123); the cell edges are 6.148, 6.148 and 7.678 Å and the angles 90.00°, 90.00° and 90.00°. Symmetry generates all atoms from Rb at (0.000, 0.000, 0.000), Ba at (0.000, 0.500, 0.500), I at (0.500, 0.500, 0.000) and Br at (0.500, 0.500, 0.500).

Its density of states at the Fermi level is 3.5 states/eV per cell. The raw formation energy is -0.96 eV/atom. The density comes out at 3.244 g/cm³.

---

Here is a PBEsol-optimized structure of BaInBr4 from Alexandria. Energies are from meta-GGA SCAN.

The structure belongs to space group F-43m (No. 216); the cell edges are 9.089, 9.089 and 9.089 Å and the angles 90.00°, 90.00° and 90.00°. Symmetry generates all atoms from Ba at (0.000, 0.000, 0.000), In at (0.250, 0.250, 0.250) and Br at (0.125, 0.125, 0.625).

Its density of states at the Fermi level is 14.5 states/eV per cell. The raw formation energy is -0.73 eV/atom. The density comes out at 5.057 g/cm³.

---

Here is a PBEsol-optimized structure of Ba2InBr from Alexandria. Energies are from meta-GGA SCAN.

The structure belongs to space group R-3m (No. 166, hexagonal axes); the cell edges are 4.5746, 4.5746 and 26.5320 Å and the angles 90.00°, 90.00° and 120.00°. Symmetry generates all atoms from Ba at (0.0000, 0.0000, 0.2477), In at (0.0000, 0.0000, 0.0000) and Br at (0.0000, 0.0000, 0.5000).

The energy above the most stable polymorph in this dataset is 29 meV/atom. Its density of states at the Fermi level is 8.4 states/eV per cell. The raw formation energy is -1.14 eV/atom. The density comes out at 4.863 g/cm³.

---

Here is a PBEsol-optimized structure of Ba2InBr from Alexandria. Energies are from meta-GGA SCAN.

The structure belongs to space group P4/mmm (No. 123); the cell edges are 3.907, 3.907 and 9.144 Å and the angles 90.00°, 90.00° and 90.00°. Symmetry generates all atoms from Ba at (0.000, 0.000, 0.248), In at (0.500, 0.500, 0.000) and Br at (0.500, 0.500, 0.500).

The energy above the most stable polymorph in this dataset is 0 meV/atom. Its density of states at the Fermi level is 1.8 states/eV per cell. The raw formation energy is -1.16 eV/atom. The density comes out at 5.585 g/cm³.

---

Here is a PBEsol-optimized structure of Ba2InBrO3 from Alexandria. Energies are from meta-GGA SCAN.

The structure belongs to space group P4/nmm (No. 129, origin choice 2); the cell edges are 4.244, 4.244 and 15.469 Å and the angles 90.00°, 90.00° and 90.00°. Symmetry generates all atoms from Ba at (0.250, 0.250, 0.092), Ba at (0.250, 0.250, 0.341), In at (0.250, 0.250, 0.793), Br at (0.250, 0.250, 0.575), O at (0.250, 0.250, 0.928) and O at (0.250, 0.750, 0.231).

Its density of states at the Fermi level is 0.0 states/eV per cell. The raw formation energy is -2.44 eV/atom. The density comes out at 6.168 g/cm³.

---

Here is a PBEsol-optimized structure of BaInSe2Br from Alexandria. Energies are from meta-GGA SCAN.

The structure belongs to space group P4/mmm (No. 123); the cell edges are 6.028, 6.028 and 6.113 Å and the angles 90.00°, 90.00° and 90.00°. Symmetry generates all atoms from Ba at (0.000, 0.000, 0.000), In at (0.500, 0.500, 0.500), Se at (0.000, 0.500, 0.000) and Br at (0.000, 0.000, 0.500).

Its density of states at the Fermi level is 5.6 states/eV per cell. The raw formation energy is -0.47 eV/atom. The density comes out at 3.663 g/cm³.

---

Here is a PBEsol-optimized structure of KBaBr2 from Alexandria. Energies are from meta-GGA SCAN.

The structure belongs to space group P4/mmm (No. 123); the cell edges are 3.943, 3.943 and 8.032 Å and the angles 90.00°, 90.00° and 90.00°. Symmetry generates all atoms from K at (0.000, 0.000, 0.000), Ba at (0.000, 0.000, 0.500) and Br at (0.500, 0.500, 0.255).

The energy above the most stable polymorph in this dataset is 93 meV/atom. Its density of states at the Fermi level is 1.6 states/eV per cell. The raw formation energy is -1.72 eV/atom. The density comes out at 4.470 g/cm³.

---

Here is a PBEsol-optimized structure of KBaBr2 from Alexandria. Energies are from meta-GGA SCAN.

The structure belongs to space group R-3m (No. 166, hexagonal axes); the cell edges are 4.7560, 4.7560 and 28.8545 Å and the angles 90.00°, 90.00° and 120.00°. Symmetry generates all atoms from K at (0.0000, 0.0000, 0.0000), Ba at (0.0000, 0.0000, 0.5000) and Br at (0.0000, 0.0000, 0.3943).

The energy above the most stable polymorph in this dataset is 140 meV/atom. Its density of states at the Fermi level is 2.6 states/eV per cell. The raw formation energy is -1.67 eV/atom. The density comes out at 2.963 g/cm³.

---

Here is a PBEsol-optimized structure of K2BaBr from Alexandria. Energies are from meta-GGA SCAN.

The structure belongs to space group I-42d (No. 122); the cell edges are 11.656, 11.656 and 6.497 Å and the angles 90.00°, 90.00° and 90.00°. Symmetry generates all atoms from K at (0.144, 0.750, 0.125), Ba at (0.000, 0.000, 0.500) and Br at (0.000, 0.000, 0.000).

The energy above the most stable polymorph in this dataset is 108 meV/atom. Its density of states at the Fermi level is 13.9 states/eV per cell. The raw formation energy is -0.74 eV/atom. The density comes out at 2.223 g/cm³.

---

Here is a PBEsol-optimized structure of KBaBr2 from Alexandria. Energies are from meta-GGA SCAN.

The structure belongs to space group R-3m (No. 166, hexagonal axes); the cell edges are 4.3358, 4.3358 and 25.6351 Å and the angles 90.00°, 90.00° and 120.00°. Symmetry generates all atoms from K at (0.0000, 0.0000, 0.0000), Ba at (0.0000, 0.0000, 0.5000) and Br at (0.0000, 0.0000, 0.2541).

The energy above the most stable polymorph in this dataset is 0 meV/atom. Its density of states at the Fermi level is 3.6 states/eV per cell. The raw formation energy is -1.81 eV/atom. The density comes out at 4.013 g/cm³.

---

Here is a PBEsol-optimized structure of K2BaBr from Alexandria. Energies are from meta-GGA SCAN.

The structure belongs to space group Pm (No. 6); the cell edges are 4.332, 4.188 and 11.545 Å and the angles 90.00°, 100.76° and 90.00°. Symmetry generates all atoms from K at (0.000, 0.000, 0.000), K at (0.333, 0.500, 0.671), Ba at (0.652, 0.500, 0.306) and Br at (0.767, 0.000, 0.539).

The energy above the most stable polymorph in this dataset is 17 meV/atom. Its density of states at the Fermi level is 1.8 states/eV per cell. The raw formation energy is -0.83 eV/atom. The density comes out at 2.384 g/cm³.

---

Here is a PBEsol-optimized structure of KBa4Br from Alexandria. Energies are from meta-GGA SCAN.

The structure belongs to space group F-43m (No. 216); the cell edges are 11.254, 11.254 and 11.254 Å and the angles 90.00°, 90.00° and 90.00°. Symmetry generates all atoms from K at (0.000, 0.000, 0.000), Ba at (0.125, 0.125, 0.375) and Br at (0.250, 0.250, 0.750).

Its density of states at the Fermi level is 19.9 states/eV per cell. The raw formation energy is 0.01 eV/atom. The density comes out at 3.114 g/cm³.

---

Here is a PBEsol-optimized structure of KBa2Br from Alexandria. Energies are from meta-GGA SCAN.

The structure belongs to space group P4/mmm (No. 123); the cell edges are 5.474, 5.474 and 6.419 Å and the angles 90.00°, 90.00° and 90.00°. Symmetry generates all atoms from K at (0.000, 0.000, 0.000), Ba at (0.000, 0.500, 0.500) and Br at (0.500, 0.500, 0.000).

The energy above the most stable polymorph in this dataset is 247 meV/atom. Its density of states at the Fermi level is 3.3 states/eV per cell. The raw formation energy is -0.44 eV/atom. The density comes out at 3.399 g/cm³.

---

Here is a PBEsol-optimized structure of KBaBr from Alexandria. Energies are from meta-GGA SCAN.

The structure belongs to space group F-43m (No. 216); the cell edges are 8.160, 8.160 and 8.160 Å and the angles 90.00°, 90.00° and 90.00°. Symmetry generates all atoms from K at (0.000, 0.000, 0.000), Ba at (0.250, 0.250, 0.250) and Br at (0.250, 0.250, 0.750).

Its density of states at the Fermi level is 9.1 states/eV per cell. The raw formation energy is -0.40 eV/atom. The density comes out at 3.134 g/cm³.

---

Here is a PBEsol-optimized structure of K2BaBr from Alexandria. Energies are from meta-GGA SCAN.

The structure belongs to space group P4/mmm (No. 123); the cell edges are 4.070, 4.070 and 11.421 Å and the angles 90.00°, 90.00° and 90.00°. Symmetry generates all atoms from K at (0.000, 0.000, 0.166), Ba at (0.500, 0.500, 0.500) and Br at (0.500, 0.500, 0.000).

The energy above the most stable polymorph in this dataset is 0 meV/atom. Its density of states at the Fermi level is 2.4 states/eV per cell. The raw formation energy is -0.85 eV/atom. The density comes out at 2.594 g/cm³.

---

Here is a PBEsol-optimized structure of KBa2Br from Alexandria. Energies are from meta-GGA SCAN.

The structure belongs to space group P4/mmm (No. 123); the cell edges are 3.990, 3.990 and 11.733 Å and the angles 90.00°, 90.00° and 90.00°. Symmetry generates all atoms from K at (0.000, 0.000, 0.000), Ba at (0.500, 0.500, 0.317) and Br at (0.000, 0.000, 0.500).

The energy above the most stable polymorph in this dataset is 0 meV/atom. Its density of states at the Fermi level is 3.9 states/eV per cell. The raw formation energy is -0.68 eV/atom. The density comes out at 3.500 g/cm³.

---

Here is a PBEsol-optimized structure of KBa2Br from Alexandria. Energies are from meta-GGA SCAN.

The structure belongs to space group I-4m2 (No. 119); the cell edges are 5.202, 5.202 and 14.527 Å and the angles 90.00°, 90.00° and 90.00°. Symmetry generates all atoms from K at (0.000, 0.000, 0.000), Ba at (0.000, 0.000, 0.500), Ba at (0.000, 0.500, 0.250) and Br at (0.000, 0.500, 0.750).

The energy above the most stable polymorph in this dataset is 207 meV/atom. Its density of states at the Fermi level is 7.7 states/eV per cell. The raw formation energy is -0.48 eV/atom. The density comes out at 3.325 g/cm³.

---

Here is a PBEsol-optimized structure of KBaBr2O from Alexandria. Energies are from meta-GGA SCAN.

The structure belongs to space group P4/mmm (No. 123); the cell edges are 6.309, 6.309 and 4.517 Å and the angles 90.00°, 90.00° and 90.00°. Symmetry generates all atoms from K at (0.000, 0.000, 0.000), Ba at (0.500, 0.500, 0.500), Br at (0.000, 0.500, 0.500) and O at (0.500, 0.500, 0.000).

Its density of states at the Fermi level is 6.7 states/eV per cell. The raw formation energy is -1.67 eV/atom. The density comes out at 3.253 g/cm³.

---

Here is a PBEsol-optimized structure of KBaPBr2 from Alexandria. Energies are from meta-GGA SCAN.

The structure belongs to space group P4/mmm (No. 123); the cell edges are 5.992, 5.992 and 15.744 Å and the angles 90.00°, 90.00° and 90.00°. Symmetry generates all atoms from K at (0.000, 0.000, 0.000), Ba at (0.000, 0.000, 0.500), P at (0.500, 0.500, 0.000) and Br at (0.000, 0.500, 0.500).

Its density of states at the Fermi level is 2.7 states/eV per cell. The raw formation energy is -0.71 eV/atom. The density comes out at 1.079 g/cm³.